[1]
MnTlSb3 | PBE | relaxed

Cell lengths 5.0708, 5.0708, 5.0708 Å; angles 90.00, 90.00, 90.00 degrees
Last column: nearest neighbours and their distance in Å.
Sites, in units of the cell vectors:
Sb 0.0000 0.0000 0.5000  2 Mn 2.54
Sb 0.0000 0.5000 0.0000  2 Mn 2.54
Sb 0.5000 0.0000 0.0000  2 Mn 2.54
Tl 0.5000 0.5000 0.5000  12 Sb 3.59
Mn 0.0000 0.0000 0.0000  6 Sb 2.54

**Crystal system**: cubic
**Space group**: Pm-3m (221)
**Total magnetization**: 0.0 Bohr magnetons per cell
**D(E_F)**: 5.458 states/eV per cell
**Theoretical density**: 8.0 g/cm3
**Electronic total energy**: -4.425 eV per atom
**E_form (uncorrected)**: 0.3560 eV per atom
**ΔE to the lowest computed polymorph**: 0 meV/atom

---

[2]
Mn2TlSb | PBE | relaxed

Cell lengths 6.8428, 4.9695, 3.3513 Å; angles 85.27, 68.29, 124.31 degrees
Last column: nearest neighbours and their distance in Å.
Sites, in units of the cell vectors:
Tl 0.5000 0.5000 0.0000  8 Mn 2.88-3.11, 2 Sb 3.20
Sb 0.0000 0.5000 0.5000  8 Mn 2.88-3.11, 2 Tl 3.20
Mn 0.0000 0.0000 0.0000  4 Tl 2.88-3.11, 4 Sb 2.88-3.11, 2 Mn 3.20
Mn 0.5000 0.0000 0.5000  4 Sb 2.88-3.11, 4 Tl 2.88-3.11, 2 Mn 3.20

**Crystal system**: monoclinic
**Space group**: C2/m (12)
**Total magnetization**: 7.4 Bohr magnetons per cell
**D(E_F)**: 3.767 states/eV per cell
**Theoretical density**: 8.9 g/cm3
**Electronic total energy**: -5.780 eV per atom
**E_form (uncorrected)**: 0.4270 eV per atom
**ΔE to the lowest computed polymorph**: 102 meV/atom